HfGa6Pd | GGA-PBE | optimized geometry

Summary:
crystal system: monoclinic
DOS at the Fermi energy: 6.81 states/eV/cell
magnetic moment: 0.0 μB per formula unit
energy of formation from the pure elements: -0.172 eV per atom

Cell: 7.475 7.287 6.275 Å, 90.00 115.44 90.00°
Space group C2/m (No. 12)
Symmetry-distinct sites (fractional):
Hf 0.000 0.000 0.000 (multiplicity 2)
Ga 0.180 0.500 0.570 (multiplicity 4)
Ga 0.209 0.321 0.165 (multiplicity 8)
Pd 0.000 0.000 0.500 (multiplicity 2)

***

Hf2Ga2Pd5 | GGA-PBE | optimized geometry

Summary:
crystal system: orthorhombic
DOS at the Fermi energy: 17.02 states/eV/cell
magnetic moment: 0.0 μB per formula unit
energy of formation from the pure elements: -0.499 eV per atom

Cell: 14.690 7.180 6.080 Å, 90.00 90.00 90.00°
Space group Ima2 (No. 46)
Symmetry-distinct sites (fractional):
Hf 0.119 0.047 0.000 (multiplicity 8)
Ga 0.000 0.000 0.620 (multiplicity 4)
Ga 0.250 0.531 0.848 (multiplicity 4)
Pd 0.004 0.192 0.291 (multiplicity 8)
Pd 0.160 0.686 0.151 (multiplicity 8)
Pd 0.250 0.200 0.682 (multiplicity 4)

***

Hf2GaPd2 | GGA-PBE | optimized geometry

Summary:
crystal system: tetragonal
DOS at the Fermi energy: 6.63 states/eV/cell
magnetic moment: 0.0 μB per formula unit
energy of formation from the pure elements: -0.192 eV per atom

Cell: 4.553 4.553 10.366 Å, 90.00 90.00 90.00°
Space group I4/mmm (No. 139)
Symmetry-distinct sites (fractional):
Hf 0.000 0.500 0.250 (multiplicity 4)
Ga 0.000 0.000 0.000 (multiplicity 2)
Pd 0.000 0.000 0.379 (multiplicity 4)

***

HfGaPd | GGA-PBE | optimized geometry

Summary:
crystal system: hexagonal
DOS at the Fermi energy: 7.34 states/eV/cell
magnetic moment: 0.0 μB per formula unit
energy of formation from the pure elements: -0.719 eV per atom

Cell: 7.2093 7.2093 6.9375 Å, 90.00 90.00 120.00°
Space group P-62c (No. 190)
Symmetry-distinct sites (fractional):
Hf 0.0219 0.4090 0.2500 (multiplicity 6)
Ga 0.0000 0.7302 0.0000 (multiplicity 6)
Pd 0.0000 0.0000 0.2500 (multiplicity 2)
Pd 0.3333 0.6667 0.5313 (multiplicity 4)

***

Question: What is the magnetic moment in the second record?
Answer: 0.0 μB per formula unit

***

Question: What is the DOS at the Fermi energy in the first record?
Answer: 6.81 states/eV/cell

***

Copy entry 2 word for word.
Hf2Ga2Pd5 | GGA-PBE | optimized geometry

Summary:
crystal system: orthorhombic
DOS at the Fermi energy: 17.02 states/eV/cell
magnetic moment: 0.0 μB per formula unit
energy of formation from the pure elements: -0.499 eV per atom

Cell: 14.690 7.180 6.080 Å, 90.00 90.00 90.00°
Space group Ima2 (No. 46)
Symmetry-distinct sites (fractional):
Hf 0.119 0.047 0.000 (multiplicity 8)
Ga 0.000 0.000 0.620 (multiplicity 4)
Ga 0.250 0.531 0.848 (multiplicity 4)
Pd 0.004 0.192 0.291 (multiplicity 8)
Pd 0.160 0.686 0.151 (multiplicity 8)
Pd 0.250 0.200 0.682 (multiplicity 4)